## CaHfIrN2 (PBE)

Data for a geometry-optimized CaHfIrN2 structure.

Summary:
total magnetization: 2.8 μB/cell
ρ: 7.80 g/cm3
excess energy over the best structure of this formula in the dataset: 0.000 eV per atom
density of states at the Fermi level: 0.625 states/eV/atom
calculated volume: 18.67 A^3/atom
final energy: -36.19 eV for the cell shown
ΔE_f (raw): 256 meV per atom
space-group type: P4/mmm, No. 123

POSCAR file:
```
CaHfIrN2
1.0
-0.486 4.063 -1.168
-4.915 -0.944 -1.240
-1.191 0.997 3.962
N Ir Hf Ca
2 1 1 1
Cartesian
-0.243 2.031 -0.584
-0.596 0.498 1.981
-2.458 -0.472 -0.620
0.000 0.000 0.000
-3.296 2.058 0.777
```

***

## CaHfIrN2 (PBE)

Data for a geometry-optimized CaHfIrN2 structure.

Summary:
total magnetization: 1.4 μB/cell
ρ: 6.61 g/cm3
excess energy over the best structure of this formula in the dataset: 1.801 eV per atom
density of states at the Fermi level: 1.171 states/eV/atom
calculated volume: 22.05 A^3/atom
final energy: -27.18 eV for the cell shown
ΔE_f (raw): 2057 meV per atom
space-group type: P4/mmm, No. 123

POSCAR file:
```
CaHfIrN2
1.0
-2.815 2.830 0.346
-2.751 -3.386 5.307
2.357 2.036 2.521
N Hf Ir Ca
2 1 1 1
Cartesian
1.178 1.018 1.260
-1.407 1.415 0.173
-1.376 -1.693 2.653
-1.605 0.740 4.087
0.000 0.000 0.000
```

***

## NaCa2HfIr (PBE)

Data for a geometry-optimized NaCa2HfIr structure.

Summary:
total magnetization: 0.8 μB/cell
ρ: 6.20 g/cm3
density of states at the Fermi level: 1.267 states/eV/atom
calculated volume: 25.37 A^3/atom
final energy: -18.58 eV for the cell shown
space-group type: P4/mmm, No. 123

POSCAR file:
```
NaCa2HfIr
1.0
5.075 0.000 0.000
0.000 4.925 0.000
0.000 0.000 5.075
Ca Ir Na Hf
2 1 1 1
Cartesian
0.000 0.000 2.537
2.537 0.000 0.000
0.000 2.463 0.000
0.000 0.000 0.000
2.537 2.463 2.537
```

***

## CaHfIrO6 (PBE)

Data for a geometry-optimized CaHfIrO6 structure.

Summary:
total magnetization: 6.0 μB/cell
ρ: 6.79 g/cm3
density of states at the Fermi level: 0.312 states/eV/atom
calculated volume: 13.78 A^3/atom
final energy: -139.07 eV for the cell shown
ΔE_f (raw): -2107 meV per atom
space-group type: P-31c, No. 163

POSCAR file:
```
CaHfIrO6
1.0
-2.078 3.061 3.836
-1.237 -5.178 -0.240
7.843 -2.151 5.964
O Ca Ir Hf
12 2 2 2
Cartesian
0.316 0.740 2.268
1.445 1.113 4.611
2.929 -2.803 6.081
1.599 -1.465 3.479
3.083 -5.381 4.949
5.536 -2.689 6.387
5.895 -5.136 5.033
-0.007 -1.017 5.753
-1.366 0.868 4.527
4.536 -3.251 3.807
-1.008 -1.579 3.173
4.212 -5.008 7.292
0.000 0.000 0.000
3.922 -1.075 2.982
4.365 -4.045 5.592
0.163 -0.223 3.968
0.444 -2.969 2.609
4.085 -1.299 6.950
```

***

## CaHf2IrO (PBE)

Data for a geometry-optimized CaHf2IrO structure.

Summary:
total magnetization: 0.0 μB/cell
ρ: 9.04 g/cm3
density of states at the Fermi level: 0.949 states/eV/atom
calculated volume: 22.24 A^3/atom
final energy: -34.26 eV for the cell shown
ΔE_f (raw): 294 meV per atom
space-group type: P4/mmm, No. 123

POSCAR file:
```
CaHf2IrO
1.0
-5.079 0.023 -1.702
-0.231 -3.815 0.639
-1.671 0.939 5.002
Ca Hf O Ir
1 2 1 1
Cartesian
-3.491 -1.427 1.970
-2.540 0.011 -0.851
-0.836 0.470 2.501
-0.116 -1.907 0.319
0.000 0.000 0.000
```

***

## CaHf2IrO8 (PBE)

Data for a geometry-optimized CaHf2IrO8 structure.

Summary:
total magnetization: 1.8 μB/cell
ρ: 7.71 g/cm3
density of states at the Fermi level: 0.424 states/eV/atom
calculated volume: 12.88 A^3/atom
final energy: -99.52 eV for the cell shown
ΔE_f (raw): -2424 meV per atom
space-group type: Cmmm, No. 65

POSCAR file:
```
CaHf2IrO8
1.0
-4.505 -1.834 0.032
0.576 -1.643 -4.538
2.315 -5.647 2.338
O Ca Ir Hf
8 1 1 2
Cartesian
-3.002 -2.976 -0.398
-1.654 -6.264 0.963
-1.514 -5.188 -1.897
0.040 -2.860 -3.131
-0.100 -3.935 -0.271
-1.137 -1.005 -1.301
-0.476 -8.118 -0.867
1.388 -6.148 -1.770
1.158 -2.823 1.169
0.000 0.000 0.000
-1.375 -3.178 -1.657
-0.239 -5.946 -0.511
```

***

Repeat the first record exactly.
## CaHfIrN2 (PBE)

Data for a geometry-optimized CaHfIrN2 structure.

Summary:
total magnetization: 2.8 μB/cell
ρ: 7.80 g/cm3
excess energy over the best structure of this formula in the dataset: 0.000 eV per atom
density of states at the Fermi level: 0.625 states/eV/atom
calculated volume: 18.67 A^3/atom
final energy: -36.19 eV for the cell shown
ΔE_f (raw): 256 meV per atom
space-group type: P4/mmm, No. 123

POSCAR file:
```
CaHfIrN2
1.0
-0.486 4.063 -1.168
-4.915 -0.944 -1.240
-1.191 0.997 3.962
N Ir Hf Ca
2 1 1 1
Cartesian
-0.243 2.031 -0.584
-0.596 0.498 1.981
-2.458 -0.472 -0.620
0.000 0.000 0.000
-3.296 2.058 0.777
```